The following is a PBE calculation of a geometry-optimized PrZn2Ni2P structure, from the Alexandria database.

Properties
As for the density: 6.801 Mg/m³. As for the calculated total energy: -4.525 eV/atom. For the energy of formation, the calculation gives -0.48 eV/atom.

POSCAR file:
```
PrZn2Ni2P
1.0
4.277 0.000 0.000
0.000 4.277 0.000
0.000 0.000 5.607
Zn Ni Pr P
2 2 1 1
direct
0.500 0.500 0.736
0.500 0.500 0.264
0.500 0.000 0.000
0.000 0.500 0.000
0.000 0.000 0.500
0.000 0.000 0.000
```

The following is a PBE calculation of a geometry-optimized PrZrNi2P2 structure, from the Alexandria database.

Properties
As for the density: 6.777 Mg/m³. As for the calculated total energy: -7.074 eV/atom. For the energy of formation, the calculation gives -1.12 eV/atom.

POSCAR file:
```
PrZrNi2P2
1.0
3.863 0.000 0.000
-1.932 3.346 0.000
0.000 0.000 7.799
P Ni Pr Zr
2 2 1 1
direct
0.667 0.333 0.730
0.333 0.667 0.270
0.333 0.667 0.721
0.667 0.333 0.279
0.000 0.000 0.000
0.000 0.000 0.500
```

The following is a PBE calculation of a geometry-optimized NiP2Pt structure, from the Alexandria database.

Properties
As for the density: 9.646 Mg/m³. The calculation puts the polymorph energy (0 for the lowest one) at 1.646 eV/f.u. As for the calculated total energy: -5.611 eV/atom. For the energy of formation, the calculation gives 0.05 eV/atom.

POSCAR file:
```
NiP2Pt
1.0
4.794 -0.017 0.012
1.760 4.460 -0.012
-2.761 -2.983 2.542
P Pt Ni
2 1 1
direct
0.239 0.739 0.500
0.995 0.995 0.000
0.484 0.484 0.000
0.782 0.282 0.500
```

The following is a PBE calculation of a geometry-optimized Ni5P2Pt structure, from the Alexandria database.

Properties
As for the density: 9.579 Mg/m³. As for the calculated total energy: -6.060 eV/atom. For the energy of formation, the calculation gives -0.34 eV/atom.

POSCAR file:
```
Ni5P2Pt
1.0
3.253 0.000 0.781
1.329 5.301 1.628
0.355 0.261 5.685
Ni P Pt
5 2 1
direct
0.354 0.846 0.446
0.000 0.500 0.500
0.354 0.446 0.846
0.646 0.554 0.154
0.646 0.154 0.554
0.255 0.245 0.245
0.745 0.755 0.755
0.000 0.000 0.000
```

The following is a PBE calculation of a geometry-optimized Ni21P6Pt2 structure, from the Alexandria database.

Properties
As for the density: 8.897 Mg/m³. As for the calculated total energy: -6.051 eV/atom. For the energy of formation, the calculation gives -0.33 eV/atom.

POSCAR file:
```
Ni21P6Pt2
1.0
-7.201 -2.816 -1.138
-2.464 -6.194 4.080
-5.458 0.879 5.524
Ni Pt P
21 2 6
direct
0.000 0.000 0.000
0.618 0.146 0.618
0.382 0.854 0.382
0.654 0.346 0.000
0.000 0.346 0.000
0.382 0.382 0.382
0.618 0.618 0.618
0.000 0.000 0.654
0.000 0.654 0.000
0.654 0.000 0.000
0.346 0.654 0.000
0.382 0.382 0.854
0.000 0.000 0.346
0.000 0.654 0.346
0.854 0.382 0.382
0.146 0.618 0.618
0.618 0.618 0.146
0.346 0.000 0.654
0.000 0.346 0.654
0.654 0.000 0.346
0.346 0.000 0.000
0.750 0.750 0.750
0.250 0.250 0.250
0.266 0.266 0.734
0.266 0.734 0.734
0.266 0.734 0.266
0.734 0.266 0.266
0.734 0.266 0.734
0.734 0.734 0.266
```

The following is a PBE calculation of a geometry-optimized NiP2Pt structure, from the Alexandria database.

Properties
As for the density: 9.704 Mg/m³. The calculation puts the polymorph energy (0 for the lowest one) at 1.692 eV/f.u. As for the calculated total energy: -5.599 eV/atom. For the energy of formation, the calculation gives 0.06 eV/atom.

POSCAR file:
```
NiP2Pt
1.0
-1.563 -2.506 -1.007
1.424 0.222 -2.763
4.084 -3.287 1.841
Pt P Ni
1 2 1
direct
0.500 0.500 0.250
0.000 0.000 0.526
0.000 0.000 0.974
0.500 0.500 0.750
```

The following is a PBE calculation of a geometry-optimized Ni2PPt2 structure, from the Alexandria database.

Properties
As for the density: 13.209 Mg/m³. As for the calculated total energy: -5.866 eV/atom. For the energy of formation, the calculation gives -0.06 eV/atom.

POSCAR file:
```
Ni2PPt2
1.0
-2.181 1.538 5.078
-3.022 -4.873 0.178
3.127 -1.870 1.910
P Ni Pt
2 4 4
direct
0.000 0.000 0.000
0.500 0.500 0.000
0.646 0.146 0.000
0.354 0.854 0.000
0.854 0.646 0.000
0.146 0.354 0.000
0.832 0.332 0.500
0.668 0.832 0.500
0.332 0.168 0.500
0.168 0.668 0.500
```

The following is a PBE calculation of a geometry-optimized NiP2Pt structure, from the Alexandria database.

Properties
As for the density: 8.508 Mg/m³. The calculation puts the polymorph energy (0 for the lowest one) at 0.532 eV/f.u. As for the calculated total energy: -5.889 eV/atom. For the energy of formation, the calculation gives -0.23 eV/atom.

POSCAR file:
```
NiP2Pt
1.0
-2.680 -1.422 -1.882
1.587 -2.215 -0.586
-0.442 -5.116 4.494
Ni Pt P
1 1 2
direct
0.500 0.723 0.900
0.000 0.121 0.509
0.000 0.296 0.827
0.500 0.360 0.264
```

The following is a PBE calculation of a geometry-optimized NiP2Pt structure, from the Alexandria database.

Properties
As for the density: 9.133 Mg/m³. The calculation puts the polymorph energy (0 for the lowest one) at 0.943 eV/f.u. As for the calculated total energy: -5.786 eV/atom. For the energy of formation, the calculation gives -0.13 eV/atom.

POSCAR file:
```
NiP2Pt
1.0
-2.960 -1.658 -0.822
0.013 -3.355 -0.964
-1.548 -3.103 4.696
Ni Pt P
1 1 2
direct
0.250 0.250 0.250
0.750 0.750 0.750
0.993 0.993 0.022
0.507 0.507 0.478
```

The following is a PBE calculation of a geometry-optimized NiP2Pt structure, from the Alexandria database.

Properties
As for the density: 7.475 Mg/m³. The calculation puts the polymorph energy (0 for the lowest one) at 0.472 eV/f.u. As for the calculated total energy: -5.904 eV/atom. For the energy of formation, the calculation gives -0.24 eV/atom.

POSCAR file:
```
NiP2Pt
1.0
5.266 0.000 0.000
0.000 5.266 0.000
2.633 2.633 5.059
P Ni Pt
4 2 2
direct
0.375 0.397 0.750
0.875 0.853 0.750
0.147 0.625 0.250
0.603 0.125 0.250
0.250 0.750 0.500
0.500 0.500 0.000
0.750 0.250 0.500
0.000 0.000 0.000
```

The following is a PBE calculation of a geometry-optimized NiP2Pt structure, from the Alexandria database.

Properties
As for the density: 9.512 Mg/m³. The calculation puts the polymorph energy (0 for the lowest one) at 2.766 eV/f.u. As for the calculated total energy: -5.331 eV/atom. For the energy of formation, the calculation gives 0.33 eV/atom.

POSCAR file:
```
NiP2Pt
1.0
-1.723 -3.700 1.261
-0.237 -3.284 -2.722
2.484 -3.429 0.568
Ni P Pt
1 2 1
direct
0.500 0.500 0.500
0.000 0.000 0.000
0.250 0.250 0.250
0.750 0.750 0.750
```

The following is a PBE calculation of a geometry-optimized NiP2Pt structure, from the Alexandria database.

Properties
As for the density: 9.225 Mg/m³. The calculation puts the polymorph energy (0 for the lowest one) at 1.241 eV/f.u. As for the calculated total energy: -5.712 eV/atom. For the energy of formation, the calculation gives -0.05 eV/atom.

POSCAR file:
```
NiP2Pt
1.0
-2.274 -2.699 -3.073
4.313 1.113 -1.437
2.031 -3.086 -0.985
Pt Ni P
1 1 2
direct
0.500 0.000 0.500
0.000 0.500 0.500
0.000 0.000 0.000
0.500 0.500 0.000
```

> Which of these has the lowest energy of formation?

PrZrNi2P2